Below is PuAlSb2 after structural relaxation, with properties calculated at the PBE level.

a b c (Å): 3.2625 3.2625 34.2536
angles (deg): 90.00 90.00 120.00
Last column: nearest neighbours and their distance in Å.
Space group R-3m (No. 166, hexagonal axes)
Symmetry-distinct sites (fractional):
Pu 0.0000 0.0000 0.0000 (multiplicity 3)  2 Sb 3.20, 6 Pu 3.26
Al 0.0000 0.0000 0.5000 (multiplicity 3)  6 Sb 3.14, 6 Al 3.26
Sb 0.0000 0.0000 0.0934 (multiplicity 6)  3 Al 3.14, 1 Pu 3.20, 6 Sb 3.26

Calculated values
Formation energy without anion corrections: 297.9 meV per atom
Uncorrected energy: -75.38 eV for the cell shown
ΔE to the lowest computed polymorph: 647 meV per atom